Below is a geometry-optimized FeIrN2O structure, with properties calculated at the PBE+U level.

abc: 3.7537 3.7537 4.3584
angles: 90.00 90.00 90.00
Closest atoms and distances in Å follow each position.
Space group P4/mmm (No. 123)
Asymmetric unit:
1 Fe 0.0000 0.0000 0.0000  4 O 2.65, 8 N 2.88
2 Ir 0.5000 0.5000 0.5000  4 N 1.88
3 N 0.0000 0.5000 0.5000  2 Ir 1.88
4 O 0.5000 0.5000 0.0000  2 Ir 2.18

Computed properties:
Size of the total moment, μB/atom: 0.80
DOS(E_F), states/eV/f.u.: 0.89
Theoretical density, g cm⁻³: 7.90
Final energy, eV/f.u.: -32.5